Entry w
Pr8Tm2Sc3 PBE relaxed; mass density = 5.96 g cm⁻³; DOS(E_F) = 18.1 states/eV/f.u.; V = 445.6 Å³ per cell
1.0
-4.130 0.752 5.220
2.185 -8.241 2.916
5.243 6.842 1.485
Pr Tm Sc
8 2 3
Direct
0.563 0.205 0.776
0.904 0.592 0.184
0.175 0.810 0.620
0.096 0.408 0.816
0.437 0.795 0.224
0.437 0.429 0.224
0.825 0.190 0.380
0.563 0.571 0.776
0.303 0.193 0.386
0.697 0.807 0.614
0.500 0.000 0.000
0.000 0.160 0.000
0.000 0.840 0.000

Entry x
Pr8Tm2Sc3 PBE relaxed; mass density = 6.20 g cm⁻³; DOS(E_F) = 20.9 states/eV/f.u.; V = 428.3 Å³ per cell
1.0
0.443 1.758 5.732
4.912 -6.046 4.165
7.516 4.588 0.704
Sc Pr Tm
3 8 2
Direct
0.500 0.000 0.000
0.000 0.728 0.272
0.000 0.272 0.728
0.882 0.137 0.137
0.645 0.612 0.078
0.750 0.413 0.413
0.118 0.863 0.863
0.250 0.587 0.587
0.355 0.922 0.388
0.645 0.078 0.612
0.355 0.388 0.922
0.683 0.681 0.681
0.317 0.319 0.319

entry x is the most stable structure; the next one sits 57 meV/atom above it.

Entry w
Pr2Tm6Sc PBE relaxed; mass density = 8.04 g cm⁻³; DOS(E_F) = 12.5 states/eV/f.u.; V = 553.7 Å³ per cell
1.0
5.982 -0.103 -0.100
1.218 9.768 1.484
1.218 1.800 9.715
Tm Pr Sc
12 4 2
Direct
0.512 0.309 0.592
0.173 0.976 0.237
0.673 0.237 0.976
0.368 0.932 0.660
0.632 0.068 0.340
0.868 0.660 0.932
0.012 0.592 0.309
0.827 0.024 0.763
0.132 0.340 0.068
0.488 0.691 0.408
0.988 0.408 0.691
0.327 0.763 0.024
0.939 0.777 0.566
0.561 0.434 0.223
0.439 0.566 0.777
0.061 0.223 0.434
0.750 0.896 0.104
0.250 0.104 0.896

Entry x
Pr2Tm6Sc PBE relaxed; mass density = 8.00 g cm⁻³; DOS(E_F) = 17.4 states/eV/f.u.; V = 278.2 Å³ per cell
1.0
-0.802 3.390 0.344
-4.807 -0.298 -8.281
-4.517 -1.903 8.231
Pr Tm Sc
2 6 1
Direct
0.734 0.333 0.667
0.266 0.667 0.333
0.228 0.316 0.976
0.228 0.024 0.340
0.772 0.976 0.660
0.772 0.684 0.024
0.228 0.660 0.684
0.772 0.340 0.316
0.500 0.000 0.000

entry x is the most stable structure; the next one sits 21 meV/atom above it.

Entry w
PrTm3Sc6 PBE relaxed; mass density = 5.58 g cm⁻³; DOS(E_F) = 13.6 states/eV/f.u.; V = 546.3 Å³ per cell
1.0
-4.185 0.047 -4.100
-6.379 -4.988 6.454
0.160 10.354 -0.045
Tm Sc Pr
6 12 2
Direct
0.968 0.076 0.283
0.468 0.283 0.076
0.568 0.602 0.398
0.468 0.924 0.717
0.068 0.398 0.602
0.968 0.717 0.924
0.511 0.618 0.725
0.129 0.701 0.299
0.860 0.984 0.551
0.360 0.551 0.984
0.860 0.449 0.016
0.011 0.382 0.275
0.427 0.951 0.049
0.360 0.016 0.449
0.927 0.049 0.951
0.511 0.275 0.382
0.011 0.725 0.618
0.629 0.299 0.701
0.683 0.787 0.213
0.183 0.213 0.787

Entry x
PrTm3Sc6 PBE relaxed; mass density = 5.47 g cm⁻³; DOS(E_F) = 21.5 states/eV/f.u.; V = 278.5 Å³ per cell
1.0
-8.045 -3.594 -2.782
-3.145 -7.800 3.827
-5.536 -1.785 2.969
Tm Sc Pr
3 6 1
Direct
0.647 0.647 0.059
0.152 0.152 0.544
0.400 0.400 0.801
0.565 0.236 0.299
0.071 0.401 0.799
0.730 0.071 0.799
0.901 0.565 0.299
0.236 0.901 0.299
0.401 0.730 0.799
0.900 0.900 0.301

entry w is the most stable structure; the next one sits 241 meV/atom above it.

Entry w
PrTm6Sc PBE relaxed; mass density = 8.32 g cm⁻³; DOS(E_F) = 10.1 states/eV/f.u.; V = 239.5 Å³ per cell
1.0
4.911 0.000 0.000
0.000 6.939 -0.781
0.000 0.782 6.939
Pr Tm Sc
1 6 1
Direct
0.500 0.000 0.000
0.500 0.500 0.000
0.500 0.000 0.500
0.000 0.745 0.745
0.000 0.745 0.255
0.000 0.255 0.745
0.000 0.255 0.255
0.500 0.500 0.500

Entry x
PrTm6Sc PBE relaxed; mass density = 8.17 g cm⁻³; DOS(E_F) = 12.2 states/eV/f.u.; V = 243.9 Å³ per cell
1.0
-6.594 0.217 0.544
3.088 1.468 -5.668
3.237 -8.011 3.432
Sc Tm Pr
1 6 1
Direct
0.000 0.000 0.000
0.661 0.197 0.242
0.197 0.661 0.242
0.339 0.803 0.758
0.803 0.339 0.758
0.237 0.237 0.754
0.763 0.763 0.246
0.500 0.500 0.500

entry w is the most stable structure; the next one sits 194 meV/atom above it.